a:
A plane-wave DFT calculation with GGA-PBE was carried out for a relaxed PmZnB crystal.

Values from the calculation:
For the spin magnetization, the calculation gives 0.00 Bohr magnetons per cell. As for the density: 5.65 g/cm³. For the volume, the calculation gives 21.68 Å³/atom.

a b c (Å): 4.514 4.514 4.514
angles (deg): 60.00 60.00 60.00
Fractional positions:
Zn 0.750 0.750 0.750
Pm 0.000 0.000 0.000
B 0.250 0.250 0.250

b:
A plane-wave DFT calculation with GGA-PBE was carried out for a relaxed PmZnB crystal.

Values from the calculation:
For the spin magnetization, the calculation gives 0.00 Bohr magnetons per cell. As for the density: 6.44 g/cm³. For the volume, the calculation gives 19.00 Å³/atom.

a b c (Å): 4.320 4.320 4.320
angles (deg): 60.00 60.00 60.00
Fractional positions:
Zn 0.000 0.000 0.000
Pm 0.750 0.750 0.750
B 0.250 0.250 0.250

Verdict on stability: b comes out on top.

a:
A plane-wave DFT calculation with GGA-PBE was carried out for a relaxed CsGdHgTe3 crystal.

Values from the calculation:
For the spin magnetization, the calculation gives 0.00 Bohr magnetons per cell. As for the density: 6.36 g/cm³. For the volume, the calculation gives 38.04 Å³/atom.

a b c (Å): 11.298 4.664 17.328
angles (deg): 90.00 90.00 90.00
Fractional positions:
Te 0.487 0.250 0.399
Te 0.987 0.250 0.101
Te 0.783 0.750 0.295
Te 0.827 0.250 0.508
Te 0.327 0.250 0.992
Te 0.173 0.750 0.492
Te 0.513 0.750 0.601
Te 0.283 0.750 0.205
Te 0.717 0.250 0.795
Te 0.013 0.750 0.899
Te 0.217 0.250 0.705
Te 0.673 0.750 0.008
Cs 0.545 0.250 0.181
Cs 0.045 0.250 0.319
Cs 0.955 0.750 0.681
Cs 0.455 0.750 0.819
Gd 0.335 0.250 0.551
Gd 0.165 0.750 0.051
Gd 0.835 0.250 0.949
Gd 0.665 0.750 0.449
Hg 0.680 0.250 0.638
Hg 0.820 0.750 0.138
Hg 0.180 0.250 0.862
Hg 0.320 0.750 0.362

b:
A plane-wave DFT calculation with GGA-PBE was carried out for a relaxed CsGdHgTe3 crystal.

Values from the calculation:
For the spin magnetization, the calculation gives 0.00 Bohr magnetons per cell. As for the density: 6.12 g/cm³. For the volume, the calculation gives 39.52 Å³/atom.

a b c (Å): 9.621 4.561 11.586
angles (deg): 90.00 111.11 90.00
Fractional positions:
Hg 0.583 0.250 0.122
Hg 0.417 0.750 0.878
Gd 0.180 0.250 0.635
Gd 0.820 0.750 0.365
Cs 0.751 0.250 0.785
Cs 0.249 0.750 0.215
Te 0.593 0.250 0.367
Te 0.407 0.750 0.633
Te 0.964 0.750 0.646
Te 0.036 0.250 0.354
Te 0.264 0.250 0.936
Te 0.736 0.750 0.064

Verdict on stability: b comes out on top.

a:
A plane-wave DFT calculation with GGA-PBE was carried out for a relaxed NdYPt2 crystal.

Values from the calculation:
For the spin magnetization, the calculation gives 0.00 Bohr magnetons per cell. As for the density: 11.12 g/cm³. For the volume, the calculation gives 23.28 Å³/atom.

a b c (Å): 4.572 7.218 5.643
angles (deg): 90.00 90.00 90.00
Fractional positions:
Pt 0.500 0.782 0.154
Pt 0.000 0.218 0.654
Pt 0.500 0.305 0.347
Pt 0.000 0.695 0.847
Y 0.500 0.434 0.859
Y 0.000 0.566 0.359
Nd 0.500 0.930 0.640
Nd 0.000 0.070 0.140

b:
A plane-wave DFT calculation with GGA-PBE was carried out for a relaxed NdYPt2 crystal.

Values from the calculation:
For the spin magnetization, the calculation gives 0.00 Bohr magnetons per cell. As for the density: 11.12 g/cm³. For the volume, the calculation gives 23.27 Å³/atom.

a b c (Å): 4.571 5.656 7.201
angles (deg): 90.00 90.00 90.00
Fractional positions:
Nd 0.000 0.889 0.682
Nd 0.000 0.111 0.182
Pt 0.500 0.100 0.457
Pt 0.500 0.900 0.957
Pt 0.000 0.594 0.045
Pt 0.000 0.406 0.545
Y 0.500 0.609 0.317
Y 0.500 0.391 0.817

Verdict on stability: a comes out on top.

a:
A plane-wave DFT calculation with GGA-PBE was carried out for a relaxed Cu2Ag crystal.

Values from the calculation:
As for the density: 9.29 g/cm³. For the volume, the calculation gives 14.00 Å³/atom.

a b c (Å): 5.987 5.987 8.175
angles (deg): 103.58 103.58 26.30
Fractional positions:
Ag 0.675 0.675 0.238
Ag 0.000 0.000 0.000
Ag 0.325 0.325 0.762
Cu 0.334 0.334 0.115
Cu 0.346 0.346 0.452
Cu 0.654 0.654 0.548
Cu 0.666 0.666 0.885
Cu 0.992 0.992 0.337
Cu 0.008 0.008 0.663

b:
A plane-wave DFT calculation with GGA-PBE was carried out for a relaxed Cu2Ag crystal.

Values from the calculation:
As for the density: 9.38 g/cm³. For the volume, the calculation gives 13.86 Å³/atom.

a b c (Å): 4.886 4.886 10.354
angles (deg): 110.68 110.68 32.88
Fractional positions:
Ag 0.000 0.000 0.500
Ag 0.339 0.339 0.248
Ag 0.661 0.661 0.752
Cu 0.680 0.680 0.388
Cu 0.352 0.352 0.977
Cu 0.320 0.320 0.612
Cu 0.963 0.963 0.831
Cu 0.648 0.648 0.023
Cu 0.037 0.037 0.169

c:
A plane-wave DFT calculation with GGA-PBE was carried out for a relaxed Cu2Ag crystal.

Values from the calculation:
As for the density: 9.32 g/cm³. For the volume, the calculation gives 13.96 Å³/atom.

a b c (Å): 5.994 5.994 6.095
angles (deg): 106.74 106.74 37.02
Fractional positions:
Ag 0.439 0.439 0.161
Ag 0.000 0.000 0.500
Ag 0.561 0.561 0.839
Cu 0.773 0.773 0.171
Cu 0.877 0.877 0.827
Cu 0.675 0.675 0.496
Cu 0.123 0.123 0.173
Cu 0.325 0.325 0.504
Cu 0.227 0.227 0.829

Verdict on stability: b comes out on top.

a:
A plane-wave DFT calculation with GGA-PBE was carried out for a relaxed Cu2Ag crystal.

Values from the calculation:
As for the density: 9.37 g/cm³. For the volume, the calculation gives 13.88 Å³/atom.

a b c (Å): 4.662 4.662 11.136
angles (deg): 112.19 112.19 34.19
Fractional positions:
Cu 0.083 0.083 0.749
Cu 0.917 0.917 0.251
Cu 0.384 0.384 0.053
Cu 0.616 0.616 0.947
Cu 0.851 0.851 0.856
Cu 0.149 0.149 0.144
Ag 0.299 0.299 0.635
Ag 0.500 0.500 0.500
Ag 0.701 0.701 0.365

b:
A plane-wave DFT calculation with GGA-PBE was carried out for a relaxed Cu2Ag crystal.

Values from the calculation:
As for the density: 9.36 g/cm³. For the volume, the calculation gives 13.89 Å³/atom.

a b c (Å): 12.680 12.680 12.680
angles (deg): 167.65 163.34 20.79
Fractional positions:
Cu 0.608 0.608 0.000
Cu 0.392 0.392 0.000
Cu 0.059 0.059 0.000
Cu 0.842 0.842 0.000
Cu 0.158 0.158 0.000
Cu 0.941 0.941 0.000
Ag 0.500 0.500 0.000
Ag 0.716 0.716 0.000
Ag 0.284 0.284 0.000

c:
A plane-wave DFT calculation with GGA-PBE was carried out for a relaxed Cu2Ag crystal.

Values from the calculation:
As for the density: 9.28 g/cm³. For the volume, the calculation gives 14.02 Å³/atom.

a b c (Å): 2.733 2.733 19.507
angles (deg): 90.00 90.00 120.00
Fractional positions:
Ag 0.000 0.000 0.000
Ag 0.667 0.333 0.130
Ag 0.333 0.667 0.870
Cu 0.333 0.667 0.245
Cu 0.000 0.000 0.653
Cu 0.000 0.000 0.347
Cu 0.667 0.333 0.755
Cu 0.333 0.667 0.551
Cu 0.667 0.333 0.449

d:
A plane-wave DFT calculation with GGA-PBE was carried out for a relaxed Cu2Ag crystal.

Values from the calculation:
As for the density: 9.39 g/cm³. For the volume, the calculation gives 13.85 Å³/atom.

a b c (Å): 16.526 16.526 16.526
angles (deg): 170.44 170.44 13.54
Fractional positions:
Ag 0.000 0.000 0.000
Ag 0.216 0.216 0.000
Ag 0.784 0.784 0.000
Cu 0.560 0.560 0.000
Cu 0.440 0.440 0.000
Cu 0.891 0.891 0.000
Cu 0.657 0.657 0.000
Cu 0.109 0.109 0.000
Cu 0.343 0.343 0.000

Verdict on stability: d comes out on top.

a:
A plane-wave DFT calculation with GGA-PBE was carried out for a relaxed CsTaB crystal.

Values from the calculation:
For the spin magnetization, the calculation gives 0.70 Bohr magnetons per cell. As for the density: 8.14 g/cm³. For the volume, the calculation gives 22.08 Å³/atom.

a b c (Å): 4.542 4.542 4.542
angles (deg): 60.00 60.00 60.00
Fractional positions:
Ta 0.750 0.750 0.750
Cs 0.000 0.000 0.000
B 0.250 0.250 0.250

b:
A plane-wave DFT calculation with GGA-PBE was carried out for a relaxed CsTaB crystal.

Values from the calculation:
For the spin magnetization, the calculation gives 0.91 Bohr magnetons per cell. As for the density: 7.92 g/cm³. For the volume, the calculation gives 22.68 Å³/atom.

a b c (Å): 4.582 4.582 4.582
angles (deg): 60.00 60.00 60.00
Fractional positions:
B 0.250 0.250 0.250
Ta 0.000 0.000 0.000
Cs 0.750 0.750 0.750

Verdict on stability: b comes out on top.

a:
A plane-wave DFT calculation with GGA-PBE was carried out for a relaxed MgCdTeO crystal.

Values from the calculation:
As for the density: 5.52 g/cm³. For the volume, the calculation gives 21.08 Å³/atom.

a b c (Å): 4.037 4.037 10.348
angles (deg): 90.00 90.00 90.00
Fractional positions:
O 0.250 0.750 0.500
O 0.750 0.250 0.500
Te 0.750 0.750 0.819
Te 0.250 0.250 0.181
Mg 0.250 0.250 0.495
Mg 0.750 0.750 0.505
Cd 0.250 0.250 0.893
Cd 0.750 0.750 0.107

b:
A plane-wave DFT calculation with GGA-PBE was carried out for a relaxed MgCdTeO crystal.

Values from the calculation:
As for the density: 4.71 g/cm³. For the volume, the calculation gives 24.71 Å³/atom.

a b c (Å): 6.366 7.962 7.800
angles (deg): 90.00 90.00 90.00
Fractional positions:
Mg 0.788 0.873 0.809
Mg 0.212 0.373 0.691
Mg 0.712 0.127 0.309
Mg 0.288 0.627 0.191
O 0.451 0.704 0.375
O 0.549 0.204 0.125
O 0.951 0.796 0.625
O 0.049 0.296 0.875
Cd 0.274 0.830 0.575
Cd 0.726 0.330 0.925
Cd 0.774 0.670 0.425
Cd 0.226 0.170 0.075
Te 0.973 0.884 0.135
Te 0.027 0.384 0.365
Te 0.527 0.116 0.635
Te 0.473 0.616 0.865

Verdict on stability: a comes out on top.

a:
A plane-wave DFT calculation with GGA-PBE was carried out for a relaxed Nd2I crystal.

Values from the calculation:
For the spin magnetization, the calculation gives 0.01 Bohr magnetons per cell. As for the density: 6.71 g/cm³. For the volume, the calculation gives 34.28 Å³/atom.

a b c (Å): 5.259 5.259 5.259
angles (deg): 60.00 60.00 60.00
Fractional positions:
Nd 0.750 0.750 0.750
Nd 0.250 0.250 0.250
I 0.000 0.000 0.000

b:
A plane-wave DFT calculation with GGA-PBE was carried out for a relaxed Nd2I crystal.

Values from the calculation:
For the spin magnetization, the calculation gives 1.75 Bohr magnetons per cell. As for the density: 6.52 g/cm³. For the volume, the calculation gives 35.25 Å³/atom.

a b c (Å): 6.688 6.688 6.688
angles (deg): 60.00 60.00 60.00
Fractional positions:
Nd 0.625 0.625 0.625
Nd 0.625 0.625 0.125
Nd 0.125 0.625 0.625
Nd 0.625 0.125 0.625
I 0.250 0.250 0.250
I 0.000 0.000 0.000

Verdict on stability: a comes out on top.